Record 1
## Cu2PRu (GGA-PBE)

Data for a relaxed Cu2PRu crystal.

Values from the calculation:
Energy of formation ... 89 meV/atom

Cell and atoms, written as POSCAR:
```
Cu2PRu
1.0
4.1302 0.0000 0.0000
2.0651 3.5769 0.0000
2.0651 1.1923 3.3723
P Cu Ru
1 2 1
Direct
0.5000 0.5000 0.5000
0.0000 0.0000 0.0000
0.2500 0.2500 0.2500
0.7500 0.7500 0.7500
```

Record 2
## Dy2GePd (GGA-PBE)

Data for a relaxed Dy2GePd crystal.

Values from the calculation:
Energy of formation ... -790 meV/atom

Cell and atoms, written as POSCAR:
```
Dy2GePd
1.0
3.4969 0.0000 0.0000
0.0000 3.4969 0.0000
0.0000 0.0000 7.2319
Pd Dy Ge
1 2 1
Direct
0.5000 0.5000 0.5000
0.0000 0.0000 0.7458
0.0000 0.0000 0.2542
0.5000 0.5000 0.0000
```